CeMnBeP2: relaxed, PBE-GGA.

```
CeMnBeP2
1.0
-0.644 0.623 3.542
2.157 -2.812 0.887
3.654 4.540 -2.019
Ce Mn Be P
1 1 1 2
direct
0.000 0.000 0.000
0.750 0.250 0.500
0.250 0.750 0.500
0.637 0.637 0.273
0.363 0.363 0.727
```

## Properties
Its mass density is 5.9 g/cm3. As for the energy of formation: -0.77 eV per atom.

***

CaTh2In3: relaxed, PBE-GGA.

```
CaTh2In3
1.0
3.544 0.000 0.000
0.000 3.544 0.000
0.000 0.000 13.618
Ca Th In
1 2 3
direct
0.500 0.500 0.500
0.500 0.500 0.831
0.500 0.500 0.169
0.000 0.000 0.000
0.000 0.000 0.663
0.000 0.000 0.337
```

## Properties
Its mass density is 8.2 g/cm3. As for the energy of formation: -0.34 eV per atom.

***

InAg2I3: relaxed, PBE-GGA.

```
InAg2I3
1.0
5.841 0.000 0.000
0.000 9.088 -0.234
0.000 -2.532 8.731
In Ag I
2 4 6
direct
0.250 0.254 0.746
0.750 0.746 0.254
0.000 0.194 0.194
0.500 0.194 0.194
0.000 0.806 0.806
0.500 0.806 0.806
0.750 0.111 0.889
0.750 0.157 0.446
0.250 0.446 0.157
0.750 0.554 0.843
0.250 0.843 0.554
0.250 0.889 0.111
```

## Properties
As for the uncorrected formation energy: -0.284 eV/atom. Its mass density is 5.1 g/cm3. For the energy above the most stable polymorph in this dataset, the calculation gives 7 meV per atom.

***

Al2AgSb: relaxed, PBE-GGA.

```
Al2AgSb
1.0
-0.189 5.052 1.085
0.830 0.298 5.095
2.779 -2.448 -3.608
Sb Al Ag
1 2 1
direct
0.500 0.500 0.000
0.000 0.000 0.000
0.250 0.750 0.500
0.750 0.250 0.500
```

## Properties
As for the uncorrected formation energy: 0.188 eV/atom. Its mass density is 5.8 g/cm3.

***

DyZr2Ti: relaxed, PBE-GGA.

```
DyZr2Ti
1.0
4.546 0.000 0.000
0.000 4.526 0.000
0.000 0.000 4.526
Ti Zr Dy
1 2 1
direct
0.500 0.000 0.000
0.000 0.000 0.500
0.000 0.500 0.000
0.500 0.500 0.500
```

## Properties
Its mass density is 7.0 g/cm3. For the energy above the most stable polymorph in this dataset, the calculation gives 54 meV per atom. As for the energy of formation: 0.18 eV per atom.

***

Ho5CoHg2: relaxed, PBE-GGA.

```
Ho5CoHg2
1.0
-2.720 -2.580 3.635
7.651 1.444 2.999
-3.836 10.625 4.672
Ho Co Hg
10 2 4
direct
0.923 0.846 0.895
0.923 0.846 0.605
0.304 0.608 0.419
0.304 0.608 0.081
0.704 0.407 0.250
0.296 0.593 0.750
0.696 0.392 0.581
0.696 0.392 0.919
0.077 0.154 0.105
0.077 0.154 0.395
0.805 0.609 0.750
0.195 0.391 0.250
0.888 0.775 0.367
0.888 0.775 0.133
0.112 0.225 0.633
0.112 0.225 0.867
```

## Properties
Its mass density is 8.4 g/cm3. For the energy above the most stable polymorph in this dataset, the calculation gives 307 meV per atom. As for the energy of formation: -0.02 eV per atom.

***

Mn3ZnFe: relaxed, PBE-GGA.

```
Mn3ZnFe
1.0
-3.473 2.268 -0.610
-2.325 -3.474 0.321
-0.332 0.604 4.135
Zn Mn Fe
1 3 1
direct
0.000 0.000 0.000
0.000 0.500 0.000
0.000 0.000 0.500
0.500 0.000 0.000
0.500 0.500 0.500
```

## Properties
Its mass density is 6.4 g/cm3. For the energy above the most stable polymorph in this dataset, the calculation gives 1086 meV per atom. As for the energy of formation: 2.06 eV per atom.

***

Zr6Bi3C: relaxed, PBE-GGA.

```
Zr6Bi3C
1.0
4.473 0.000 0.000
0.000 10.049 0.348
0.000 -1.903 9.874
Zr Bi C
12 6 2
direct
0.149 0.749 0.586
0.649 0.586 0.749
0.149 0.419 0.916
0.649 0.916 0.419
0.148 0.078 0.922
0.649 0.256 0.744
0.149 0.744 0.256
0.648 0.922 0.078
0.149 0.084 0.581
0.649 0.581 0.084
0.149 0.414 0.251
0.649 0.251 0.414
0.649 0.928 0.735
0.149 0.735 0.928
0.149 0.411 0.589
0.649 0.589 0.411
0.149 0.072 0.265
0.649 0.265 0.072
0.149 0.220 0.780
0.649 0.780 0.220
```

## Properties
Its mass density is 8.8 g/cm3. As for the energy of formation: -0.28 eV per atom.